# Pa2Si9Ru3 | Alexandria | PBE | relaxed
data_Pa2Si9Ru3
_space_group_name_H-M_alt 'P 1'
_space_group_IT_number 1
_space_group_name_Hall 'P 1'
_cell_length_a 7.297
_cell_length_b 7.297
_cell_length_c 10.353
_cell_angle_alpha 88.87
_cell_angle_beta 112.62
_cell_angle_gamma 118.84
loop_
_atom_site_label
_atom_site_type_symbol
_atom_site_fract_x
_atom_site_fract_y
_atom_site_fract_z
Si1 Si 0.885 0.027 0.068
Si2 Si 0.660 0.712 0.750
Si3 Si 0.547 0.361 0.066
Si4 Si 0.870 0.120 0.750
Si5 Si 0.795 0.480 0.434
Si6 Si 0.206 0.679 0.062
Si7 Si 0.130 0.880 0.250
Si8 Si 0.883 0.857 0.562
Si9 Si 0.794 0.321 0.938
Si10 Si 0.538 0.091 0.250
Si11 Si 0.340 0.288 0.250
Si12 Si 0.117 0.143 0.438
Si13 Si 0.462 0.909 0.750
Si14 Si 0.541 0.183 0.568
Si15 Si 0.459 0.817 0.432
Si16 Si 0.205 0.520 0.566
Si17 Si 0.453 0.639 0.934
Si18 Si 0.115 0.973 0.932
Ru1 Ru 0.500 0.500 0.500
Ru2 Ru 0.846 0.685 0.008
Ru3 Ru 0.823 0.162 0.508
Ru4 Ru 0.500 0.000 0.000
Ru5 Ru 0.177 0.838 0.492
Ru6 Ru 0.154 0.315 0.992
Pa1 Pa 0.656 0.748 0.248
Pa2 Pa 0.344 0.252 0.752
Pa3 Pa 0.000 0.592 0.748
Pa4 Pa 0.000 0.408 0.252
# **N(E_F)**: 0.75 states/eV/atom
# **Energy**: -7.29 eV/atom
# **Formation energy from raw total energies**: -0.46 eV per atom